DFT (PBE-GGA) results for an optimized crystal structure of Pm3HoPu2Se6.

Geometry as CIF:
```
data_Pm3HoPu2Se6
_chemical_formula_sum 'Pm3 Ho1 Pu2 Se6'
_space_group_name_H-M_alt 'P 1'
_space_group_IT_number 1
_cell_length_a 7.174
_cell_length_b 7.174
_cell_length_c 7.233
_cell_angle_alpha 99.51
_cell_angle_beta 99.51
_cell_angle_gamma 120.02
loop_
_space_group_symop_operation_xyz
'x,y,z'
loop_
_atom_site_label
_atom_site_type_symbol
_atom_site_fract_x
_atom_site_fract_y
_atom_site_fract_z
Pm1 Pm 0.168 0.832 0.500
Pm2 Pm 0.832 0.168 0.500
Pm3 Pm 0.500 0.500 0.500
Ho1 Ho 0.000 0.000 0.000
Pu1 Pu 0.334 0.666 0.000
Pu2 Pu 0.666 0.334 0.000
Se1 Se 0.920 0.590 0.758
Se2 Se 0.752 0.752 0.244
Se3 Se 0.080 0.410 0.242
Se4 Se 0.590 0.920 0.758
Se5 Se 0.248 0.248 0.756
Se6 Se 0.410 0.080 0.242
```

- Theoretical density: 8.53 g cm⁻³
- Raw formation energy: -39.99 kcal/mol of atoms

---

DFT (PBE-GGA) results for an optimized crystal structure of NaAcBN2.

Geometry as CIF:
```
data_NaAcBN2
_chemical_formula_sum 'Na2 Ac2 B2 N4'
_space_group_name_H-M_alt 'P 1'
_space_group_IT_number 1
_cell_length_a 4.331
_cell_length_b 6.008
_cell_length_c 7.763
_cell_angle_alpha 100.48
_cell_angle_beta 90.00
_cell_angle_gamma 90.00
loop_
_space_group_symop_operation_xyz
'x,y,z'
loop_
_atom_site_label
_atom_site_type_symbol
_atom_site_fract_x
_atom_site_fract_y
_atom_site_fract_z
Na1 Na 0.499 0.000 0.250
Na2 Na 0.501 0.000 0.750
Ac1 Ac 0.001 0.500 0.750
Ac2 Ac 0.999 0.500 0.250
B1 B 0.000 0.000 0.000
B2 B 0.000 0.000 0.500
N1 N 0.999 0.793 0.045
N2 N 0.999 0.207 0.455
N3 N 0.001 0.793 0.545
N4 N 0.001 0.207 0.955
```

- Theoretical density: 4.83 g cm⁻³
- Raw formation energy: -17.57 kcal/mol of atoms

---

DFT (PBE-GGA) results for an optimized crystal structure of Y2MgIrO.

Geometry as CIF:
```
data_Y2MgIrO
_chemical_formula_sum 'Y2 Mg1 Ir1 O1'
_space_group_name_H-M_alt 'P 1'
_space_group_IT_number 1
_cell_length_a 4.746
_cell_length_b 4.746
_cell_length_c 4.040
_cell_angle_alpha 90.00
_cell_angle_beta 90.00
_cell_angle_gamma 90.00
loop_
_space_group_symop_operation_xyz
'x,y,z'
loop_
_atom_site_label
_atom_site_type_symbol
_atom_site_fract_x
_atom_site_fract_y
_atom_site_fract_z
Y1 Y 0.000 0.500 0.000
Y2 Y 0.500 0.000 0.000
Mg1 Mg 0.000 0.000 0.500
Ir1 Ir 0.500 0.500 0.500
O1 O 0.000 0.000 0.000
```

- Theoretical density: 7.49 g cm⁻³
- Raw formation energy: -32.61 kcal/mol of atoms